(1)
Compound: YTeCl
Source: Alexandria via LeMat-Bulk
Functional: PBE-GGA
Structure: optimized geometry

The value obtained for the total energy is -57.59 eV per cell. The volume comes out at 32.296 A^3/atom. The calculation puts the formation energy from raw total energies at -0.982 eV/atom.

It has space group F-43m (No. 216), with a = 7.291 Å, b = 7.291 Å, c = 7.291 Å, α = 90.00°, β = 90.00° and γ = 90.00°. Symmetry generates all atoms from Y at (0.000, 0.000, 0.000), Te at (0.250, 0.250, 0.250) and Cl at (0.000, 0.000, 0.500).



(2)
Compound: La2CrH2
Source: Alexandria via LeMat-Bulk
Functional: PBE-GGA
Structure: optimized geometry

The value obtained for the total energy is -50.87 eV per cell. The volume comes out at 17.957 A^3/atom.

It has space group I4/mmm (No. 139), with a = 3.607 Å, b = 3.607 Å, c = 13.799 Å, α = 90.00°, β = 90.00° and γ = 90.00°. Symmetry generates all atoms from La at (0.000, 0.000, 0.134), Cr at (0.000, 0.000, 0.500) and H at (0.000, 0.500, 0.250).



(3)
Compound: CaLaCe2
Source: Alexandria via LeMat-Bulk
Functional: PBE-GGA
Structure: optimized geometry

For the formation energy, the calculation gives 2.780 eV/f.u. The value obtained for the total energy is -48.05 eV per cell. The volume comes out at 37.201 A^3/atom.

It has space group R-3m (No. 166, hexagonal axes), with a = 4.0778 Å, b = 4.0778 Å, c = 30.9986 Å, α = 90.00°, β = 90.00° and γ = 120.00°. Symmetry generates all atoms from Ca at (0.0000, 0.0000, 0.0000), La at (0.0000, 0.0000, 0.5000) and Ce at (0.0000, 0.0000, 0.1143).



(4)
Compound: PuBr2O8F
Source: Alexandria via LeMat-Bulk
Functional: PBE-GGA
Structure: optimized geometry

The value obtained for the total energy is -134.92 eV per cell. The volume comes out at 19.231 A^3/atom. The calculation puts the formation energy from raw total energies at -0.687 eV/atom.

It has space group C2/m (No. 12), with a = 9.911 Å, b = 7.281 Å, c = 6.623 Å, α = 90.00°, β = 105.03° and γ = 90.00°. Symmetry generates all atoms from Pu at (0.000, 0.000, 0.000), Br at (0.106, 0.500, 0.838), O at (0.050, 0.181, 0.834), O at (0.152, 0.500, 0.098), O at (0.242, 0.000, 0.226) and F at (0.000, 0.500, 0.500).



(5)
Compound: ErSc2GaN
Source: Alexandria via LeMat-Bulk
Functional: PBE-GGA
Structure: optimized geometry

The value obtained for the total energy is -34.05 eV per cell. The volume comes out at 18.208 A^3/atom. The calculation puts the formation energy from raw total energies at -1.094 eV/atom.

It has space group P4/mmm (No. 123), with a = 4.420 Å, b = 4.420 Å, c = 4.660 Å, α = 90.00°, β = 90.00° and γ = 90.00°. Symmetry generates all atoms from Er at (0.000, 0.000, 0.000), Sc at (0.000, 0.500, 0.500), Ga at (0.500, 0.500, 0.000) and N at (0.000, 0.000, 0.500).



(6)
Compound: CoRe2Cl
Source: Alexandria via LeMat-Bulk
Functional: PBE-GGA
Structure: optimized geometry

The value obtained for the total energy is -60.40 eV per cell. The volume comes out at 14.409 A^3/atom. The calculation puts the formation energy from raw total energies at 0.912 eV/atom. As for the energy above the most stable polymorph in this dataset: 544 meV/atom.

It has space group Immm (No. 71), with a = 2.799 Å, b = 4.558 Å, c = 9.035 Å, α = 90.00°, β = 90.00° and γ = 90.00°. Symmetry generates all atoms from Co at (0.000, 0.000, 0.000), Re at (0.000, 0.500, 0.234) and Cl at (0.000, 0.000, 0.500).



(7)
Compound: Li2CeTl
Source: Alexandria via LeMat-Bulk
Functional: PBE-GGA
Structure: optimized geometry

For the formation energy, the calculation gives 0.031 eV/f.u. The value obtained for the total energy is -12.10 eV per cell. The volume comes out at 22.438 A^3/atom. As for the energy above the most stable polymorph in this dataset: 139 meV/atom.

It has space group P4/mmm (No. 123), with a = 3.337 Å, b = 3.337 Å, c = 8.062 Å, α = 90.00°, β = 90.00° and γ = 90.00°. Symmetry generates all atoms from Li at (0.000, 0.000, 0.206), Ce at (0.500, 0.500, 0.500) and Tl at (0.500, 0.500, 0.000).



(8)
Compound: Ho4Er3
Source: Alexandria via LeMat-Bulk
Functional: PBE-GGA
Structure: optimized geometry

For the formation energy, the calculation gives 0.149 eV/f.u. The value obtained for the total energy is -63.70 eV per cell. The volume comes out at 30.505 A^3/atom.

It has space group Immm (No. 71), with a = 3.503 Å, b = 4.960 Å, c = 24.578 Å, α = 90.00°, β = 90.00° and γ = 90.00°. Symmetry generates all atoms from Ho at (0.000, 0.000, 0.071), Ho at (0.000, 0.000, 0.214), Er at (0.000, 0.000, 0.357) and Er at (0.000, 0.000, 0.500).